Record 1
12
Lattice="2.689 0.000 0.000 -1.344 2.329 0.000 0.000 0.000 25.516" Properties=species:S:1:pos:R:3 comment="Cr2TcOs PBE relaxed" density_g_cm3=12.23 sg="No. 160" formation_enthalpy_0k_ev_per_atom=0.225 pbc="T T T"
Cr 0.000 0.000 0.000
Cr 0.000 0.000 6.544
Cr 0.000 1.552 17.011
Cr 0.000 1.552 23.555
Cr 1.344 0.776 8.505
Cr 1.344 0.776 15.049
Tc 0.000 0.000 12.963
Tc 0.000 1.552 4.458
Tc 1.344 0.776 21.468
Os 0.000 0.000 19.087
Os 0.000 1.552 10.582
Os 1.344 0.776 2.076

=====

Record 2
12
Lattice="2.704 0.000 0.000 -1.352 2.342 0.000 0.000 0.000 26.412" Properties=species:S:1:pos:R:3 comment="CrTcOs2 PBE relaxed" density_g_cm3=15.80 sg="No. 160" formation_enthalpy_0k_ev_per_atom=0.152 polymorph_energy_mev_per_atom=78 pbc="T T T"
Cr 0.000 0.000 0.000
Cr 0.000 1.561 17.608
Cr 1.352 0.781 8.804
Tc 0.000 0.000 6.617
Tc 0.000 1.561 24.225
Tc 1.352 0.781 15.421
Os 0.000 0.000 13.202
Os 0.000 0.000 19.668
Os 0.000 1.561 4.398
Os 0.000 1.561 10.864
Os 1.352 0.781 2.060
Os 1.352 0.781 22.006

=====

Record 3
12
Lattice="2.673 0.000 0.000 -1.336 2.315 0.000 0.000 0.000 25.866" Properties=species:S:1:pos:R:3 comment="Cr2TcOs PBE relaxed" density_g_cm3=12.21 sg="No. 166" formation_enthalpy_0k_ev_per_atom=0.204 pbc="T T T"
Cr 0.000 0.000 6.464
Cr 0.000 0.000 19.403
Cr 0.000 1.543 10.781
Cr 0.000 1.543 23.708
Cr 1.336 0.772 2.159
Cr 1.336 0.772 15.086
Tc 0.000 0.000 0.000
Tc 0.000 1.543 17.244
Tc 1.336 0.772 8.622
Os 0.000 0.000 12.933
Os 0.000 1.543 4.311
Os 1.336 0.772 21.555

=====

Record 4
8
Lattice="2.950 0.000 0.000 0.000 4.428 0.000 0.000 0.000 8.611" Properties=species:S:1:pos:R:3 comment="CrTc2Os PBE relaxed" density_g_cm3=12.94 sg="No. 35" formation_enthalpy_0k_ev_per_atom=0.313 polymorph_energy_mev_per_atom=213 pbc="T T T"
Cr 0.000 0.000 0.000
Cr 1.475 2.214 0.000
Tc 0.000 0.000 4.342
Tc 0.000 2.214 6.584
Tc 1.475 0.000 6.584
Tc 1.475 2.214 4.342
Os 0.000 2.214 2.059
Os 1.475 0.000 2.059